The following is a PBE with a Hubbard U calculation of VSbI2O after structural relaxation, from Alexandria via LeMat-Bulk.

## Properties
- SG = P4/mmm, No. 123
- ΔE to the lowest computed polymorph (meV/atom) = 501.7

abc: 6.1410 6.1410 4.0967
angles: 90.00 90.00 90.00
With the nearest neighbours (Å) after each atom.
Positions (direct):
I 0.0000 0.5000 0.0000  2 Sb 3.07
I 0.5000 0.0000 0.0000  2 Sb 3.07
Sb 0.0000 0.0000 0.0000  2 O 2.05
O 0.0000 0.0000 0.5000  2 Sb 2.05
V 0.5000 0.5000 0.5000  8 I 3.69, 2 V 4.10